A geometry-optimized Rb4LiSn3Br12 structure, computed with PBE-GGA.

Cell lengths 11.3958, 11.3958, 11.3958 Å; angles 90.00, 90.00, 90.00 degrees
Closest atoms and distances in Å follow each position.
Space group Im-3m (No. 229)
Unique sites:
Rb  0.2500  0.2500  0.2500 x8  12 Br 4.03
Li  0.0000  0.0000  0.0000 x2  6 Br 2.82
Sn  0.0000  0.0000  0.5000 x6  6 Br 2.85-2.88
Br  0.0000  0.0000  0.2477 x12  1 Li 2.82, 1 Sn 2.88
Br  0.0000  0.2500  0.5000 x12  2 Sn 2.85

Results
The volume comes out at 1479.9 Å³/cell. As for the uncorrected formation energy: -1.2101 eV/atom.